Mg2SbRh4 (GGA-PBE, relaxed); calculated volume = 116.7 Å³/cell; DOS(E_F) = 0.77 states/eV/atom; total DFT energy (no corrections) = -38.61 eV/cell; E_form (uncorrected) = -0.2710 eV per atom
1.0
-3.094 3.094 3.047
3.094 -3.094 3.047
3.094 3.094 -3.047
Mg Sb Rh
2 1 4
Direct
0.000 0.500 0.500
0.500 0.000 0.500
0.000 0.000 0.000
0.000 0.000 0.500
0.000 0.500 0.000
0.500 0.000 0.000
0.500 0.500 0.500